Record 1
Computed, not measured: a relaxed RbAlZn2Bi crystal at the GGA-PBE level of DFT.

The structure in CIF format:
```
data_RbAlZn2Bi
_chemical_formula_sum 'Rb1 Al1 Zn2 Bi1'
_cell_length_a 5.034
_cell_length_b 5.034
_cell_length_c 6.155
_cell_angle_alpha 90.00
_cell_angle_beta 90.00
_cell_angle_gamma 90.00
_symmetry_space_group_name_H-M 'P 4/m m m'
_symmetry_Int_Tables_number 123
_symmetry_space_group_name_Hall '-P 4 2'
loop_
_atom_site_label
_atom_site_fract_x
_atom_site_fract_y
_atom_site_fract_z
Rb1 0.000 0.000 0.000
Al1 0.000 0.000 0.500
Zn1 0.000 0.500 0.500
Bi1 0.500 0.500 0.000
```

Values from the calculation:
Its formation energy is 490 meV per atom. Its density of states at the Fermi level is 4.95 states/eV per cell. As for the crystal system: tetragonal.



Record 2
Computed, not measured: a relaxed AlRe3Bi crystal at the GGA-PBE level of DFT.

The structure in CIF format:
```
data_AlRe3Bi
_chemical_formula_sum 'Al1 Re3 Bi1'
_cell_length_a 4.589
_cell_length_b 4.589
_cell_length_c 4.589
_cell_angle_alpha 90.00
_cell_angle_beta 90.00
_cell_angle_gamma 90.00
_symmetry_space_group_name_H-M 'P m -3 m'
_symmetry_Int_Tables_number 221
_symmetry_space_group_name_Hall '-P 4 2 3'
loop_
_atom_site_label
_atom_site_fract_x
_atom_site_fract_y
_atom_site_fract_z
Al1 0.000 0.000 0.000
Re1 0.000 0.000 0.500
Bi1 0.500 0.500 0.500
```

Values from the calculation:
Its formation energy is 1751 meV per atom. The value obtained for the offset from the most stable computed form is 0 meV per atom. Its density of states at the Fermi level is 3.61 states/eV per cell. As for the crystal system: cubic.



Record 3
Computed, not measured: a relaxed Al3ReBi crystal at the GGA-PBE level of DFT.

The structure in CIF format:
```
data_Al3ReBi
_chemical_formula_sum 'Al3 Re1 Bi1'
_cell_length_a 4.860
_cell_length_b 4.860
_cell_length_c 4.860
_cell_angle_alpha 90.00
_cell_angle_beta 90.00
_cell_angle_gamma 90.00
_symmetry_space_group_name_H-M 'P m -3 m'
_symmetry_Int_Tables_number 221
_symmetry_space_group_name_Hall '-P 4 2 3'
loop_
_atom_site_label
_atom_site_fract_x
_atom_site_fract_y
_atom_site_fract_z
Al1 0.000 0.000 0.500
Re1 0.000 0.000 0.000
Bi1 0.500 0.500 0.500
```

Values from the calculation:
Its formation energy is 446 meV per atom. The value obtained for the offset from the most stable computed form is 0 meV per atom. Its density of states at the Fermi level is 7.49 states/eV per cell. As for the crystal system: cubic.



Record 4
Computed, not measured: a relaxed AlReBi3 crystal at the GGA-PBE level of DFT.

The structure in CIF format:
```
data_AlReBi3
_chemical_formula_sum 'Al1 Re1 Bi3'
_cell_length_a 5.336
_cell_length_b 5.336
_cell_length_c 5.336
_cell_angle_alpha 90.00
_cell_angle_beta 90.00
_cell_angle_gamma 90.00
_symmetry_space_group_name_H-M 'P m -3 m'
_symmetry_Int_Tables_number 221
_symmetry_space_group_name_Hall '-P 4 2 3'
loop_
_atom_site_label
_atom_site_fract_x
_atom_site_fract_y
_atom_site_fract_z
Al1 0.000 0.000 0.000
Re1 0.500 0.500 0.500
Bi1 0.000 0.000 0.500
```

Values from the calculation:
Its formation energy is 1559 meV per atom. The value obtained for the offset from the most stable computed form is 651 meV per atom. Its density of states at the Fermi level is 4.94 states/eV per cell. As for the crystal system: cubic.



Record 5
Computed, not measured: a relaxed AlRe3Bi crystal at the GGA-PBE level of DFT.

The structure in CIF format:
```
data_AlRe3Bi
_chemical_formula_sum 'Al1 Re3 Bi1'
_cell_length_a 4.958
_cell_length_b 4.958
_cell_length_c 4.958
_cell_angle_alpha 90.00
_cell_angle_beta 90.00
_cell_angle_gamma 90.00
_symmetry_space_group_name_H-M 'P m -3 m'
_symmetry_Int_Tables_number 221
_symmetry_space_group_name_Hall '-P 4 2 3'
loop_
_atom_site_label
_atom_site_fract_x
_atom_site_fract_y
_atom_site_fract_z
Al1 0.000 0.000 0.000
Re1 0.000 0.500 0.500
Bi1 0.500 0.500 0.500
```

Values from the calculation:
Its formation energy is 3080 meV per atom. The value obtained for the offset from the most stable computed form is 1328 meV per atom. Its density of states at the Fermi level is 3.43 states/eV per cell. As for the crystal system: cubic.



Record 6
Computed, not measured: a relaxed AlRe4Bi2 crystal at the GGA-PBE level of DFT.

The structure in CIF format:
```
data_AlRe4Bi2
_chemical_formula_sum 'Al2 Re8 Bi4'
_cell_length_a 4.544
_cell_length_b 4.544
_cell_length_c 13.745
_cell_angle_alpha 90.00
_cell_angle_beta 90.00
_cell_angle_gamma 90.00
_symmetry_space_group_name_H-M 'I 4/m m m'
_symmetry_Int_Tables_number 139
_symmetry_space_group_name_Hall '-I 4 2'
loop_
_atom_site_label
_atom_site_fract_x
_atom_site_fract_y
_atom_site_fract_z
Al1 0.000 0.000 0.000
Re1 0.000 0.000 0.172
Re2 0.000 0.500 0.000
Bi1 0.000 0.000 0.367
```

Values from the calculation:
Its formation energy is 1679 meV per atom. Its density of states at the Fermi level is 15.59 states/eV per cell. As for the crystal system: tetragonal.



Record 7
Computed, not measured: a relaxed AlReBi3 crystal at the GGA-PBE level of DFT.

The structure in CIF format:
```
data_AlReBi3
_chemical_formula_sum 'Al1 Re1 Bi3'
_cell_length_a 5.359
_cell_length_b 5.359
_cell_length_c 5.359
_cell_angle_alpha 90.00
_cell_angle_beta 90.00
_cell_angle_gamma 90.00
_symmetry_space_group_name_H-M 'P m -3 m'
_symmetry_Int_Tables_number 221
_symmetry_space_group_name_Hall '-P 4 2 3'
loop_
_atom_site_label
_atom_site_fract_x
_atom_site_fract_y
_atom_site_fract_z
Al1 0.000 0.000 0.000
Re1 0.500 0.500 0.500
Bi1 0.000 0.500 0.500
```

Values from the calculation:
Its formation energy is 908 meV per atom. The value obtained for the offset from the most stable computed form is 0 meV per atom. Its density of states at the Fermi level is 4.98 states/eV per cell. As for the crystal system: cubic.



Record 8
Computed, not measured: a relaxed Al2BiRh crystal at the GGA-PBE level of DFT.

The structure in CIF format:
```
data_Al2BiRh
_chemical_formula_sum 'Al8 Bi4 Rh4'
_cell_length_a 5.857
_cell_length_b 5.857
_cell_length_c 12.382
_cell_angle_alpha 90.00
_cell_angle_beta 90.00
_cell_angle_gamma 90.00
_symmetry_space_group_name_H-M 'I -4 2 d'
_symmetry_Int_Tables_number 122
_symmetry_space_group_name_Hall 'I -4 2bw'
loop_
_atom_site_label
_atom_site_fract_x
_atom_site_fract_y
_atom_site_fract_z
Al1 0.184 0.250 0.125
Bi1 0.000 0.000 0.500
Rh1 0.000 0.000 0.000
```

Values from the calculation:
Its formation energy is 166 meV per atom. Its density of states at the Fermi level is 0.00 states/eV per cell. As for the crystal system: tetragonal.



Record 9
Computed, not measured: a relaxed AlBi2Rh crystal at the GGA-PBE level of DFT.

The structure in CIF format:
```
data_AlBi2Rh
_chemical_formula_sum 'Al4 Bi8 Rh4'
_cell_length_a 6.302
_cell_length_b 6.302
_cell_length_c 12.669
_cell_angle_alpha 90.00
_cell_angle_beta 90.00
_cell_angle_gamma 90.00
_symmetry_space_group_name_H-M 'I -4 2 d'
_symmetry_Int_Tables_number 122
_symmetry_space_group_name_Hall 'I -4 2bw'
loop_
_atom_site_label
_atom_site_fract_x
_atom_site_fract_y
_atom_site_fract_z
Al1 0.000 0.000 0.000
Bi1 0.223 0.250 0.625
Rh1 0.000 0.000 0.500
```

Values from the calculation:
Its formation energy is 286 meV per atom. Its density of states at the Fermi level is 11.89 states/eV per cell. As for the crystal system: tetragonal.



Record 10
Computed, not measured: a relaxed Al3BiRh crystal at the GGA-PBE level of DFT.

The structure in CIF format:
```
data_Al3BiRh
_chemical_formula_sum 'Al3 Bi1 Rh1'
_cell_length_a 4.781
_cell_length_b 4.781
_cell_length_c 4.781
_cell_angle_alpha 90.00
_cell_angle_beta 90.00
_cell_angle_gamma 90.00
_symmetry_space_group_name_H-M 'P m -3 m'
_symmetry_Int_Tables_number 221
_symmetry_space_group_name_Hall '-P 4 2 3'
loop_
_atom_site_label
_atom_site_fract_x
_atom_site_fract_y
_atom_site_fract_z
Al1 0.000 0.000 0.500
Bi1 0.500 0.500 0.500
Rh1 0.000 0.000 0.000
```

Values from the calculation:
Its formation energy is -97 meV per atom. The value obtained for the offset from the most stable computed form is 0 meV per atom. Its density of states at the Fermi level is 3.79 states/eV per cell. As for the crystal system: cubic.



Record 11
Computed, not measured: a relaxed AlBi3Rh crystal at the GGA-PBE level of DFT.

The structure in CIF format:
```
data_AlBi3Rh
_chemical_formula_sum 'Al1 Bi3 Rh1'
_cell_length_a 5.333
_cell_length_b 5.333
_cell_length_c 5.333
_cell_angle_alpha 90.00
_cell_angle_beta 90.00
_cell_angle_gamma 90.00
_symmetry_space_group_name_H-M 'P m -3 m'
_symmetry_Int_Tables_number 221
_symmetry_space_group_name_Hall '-P 4 2 3'
loop_
_atom_site_label
_atom_site_fract_x
_atom_site_fract_y
_atom_site_fract_z
Al1 0.000 0.000 0.000
Bi1 0.000 0.500 0.500
Rh1 0.500 0.500 0.500
```

Values from the calculation:
Its formation energy is 455 meV per atom. The value obtained for the offset from the most stable computed form is 0 meV per atom. Its density of states at the Fermi level is 6.73 states/eV per cell. As for the crystal system: cubic.



Record 12
Computed, not measured: a relaxed Al2BiRh2 crystal at the GGA-PBE level of DFT.

The structure in CIF format:
```
data_Al2BiRh2
_chemical_formula_sum 'Al4 Bi2 Rh4'
_cell_length_a 3.773
_cell_length_b 3.773
_cell_length_c 12.458
_cell_angle_alpha 90.00
_cell_angle_beta 90.00
_cell_angle_gamma 90.00
_symmetry_space_group_name_H-M 'I 4/m m m'
_symmetry_Int_Tables_number 139
_symmetry_space_group_name_Hall '-I 4 2'
loop_
_atom_site_label
_atom_site_fract_x
_atom_site_fract_y
_atom_site_fract_z
Al1 0.000 0.500 0.250
Bi1 0.000 0.000 0.000
Rh1 0.000 0.000 0.385
```

Values from the calculation:
Its formation energy is -514 meV per atom. The value obtained for the offset from the most stable computed form is 2 meV per atom. Its density of states at the Fermi level is 4.29 states/eV per cell. As for the crystal system: tetragonal.